Compound: CrGe3O
Source: the Alexandria database
Functional: PBE with a Hubbard U
Structure: optimized geometry

POSCAR file:
```
CrGe3O
1.0
4.3965 0.0000 0.0000
0.0000 4.3965 0.0000
0.0000 0.0000 4.3965
Cr Ge O
1 3 1
Direct
0.0000 0.0000 0.0000
0.0000 0.5000 0.5000
0.5000 0.0000 0.5000
0.5000 0.5000 0.0000
0.5000 0.5000 0.5000
```

total moment = 0.058 μB per atom
D(E_F) = 2.71 states/eV per cell
calculated volume = 85 Å³/f.u.
SG = Pm-3m (221)
final energy = -4.71 eV/atom